Compound: CaAcZn2Rh2
Source: Alexandria via LeMat-Bulk
Functional: PBE-GGA
Structure: optimized geometry

- E_form (eV per atom) = -0.522
- calculated volume (Å³/cell) = 131.80
- space group = P-3m1 (164)
- crystal system = trigonal

abc: 4.3869 4.3869 7.9078
angles: 90.00 90.00 120.00
Last column: nearest neighbours and their distance in Å.
Positions (direct):
Ca (0.0000, 0.0000, 0.0000)  6 Zn 3.06, 6 Rh 3.21
Ac (0.0000, 0.0000, 0.5000)  6 Rh 3.22, 6 Zn 3.37
Zn (0.3333, 0.6667, 0.7817)  3 Rh 2.54
Zn (0.6667, 0.3333, 0.2183)  3 Rh 2.54
Rh (0.3333, 0.6667, 0.2489)  3 Zn 2.54
Rh (0.6667, 0.3333, 0.7511)  3 Zn 2.54

---

Compound: TbUN
Source: Alexandria via LeMat-Bulk
Functional: PBE-GGA
Structure: optimized geometry

- calculated volume (Å³/cell) = 159.90
- raw formation energy (eV/atom) = 0.5576
- space group = I4mm (107)
- crystal system = tetragonal

abc: 4.5465 4.5465 7.7356
angles: 90.00 90.00 90.00
Last column: nearest neighbours and their distance in Å.
Positions (direct):
Tb (0.0000, 0.0000, 0.0000)  1 N 2.15
Tb (0.5000, 0.5000, 0.5000)  1 N 2.15
U (0.0000, 0.0000, 0.4702)  1 N 1.95
U (0.5000, 0.5000, 0.9702)  1 N 1.95
N (0.0000, 0.0000, 0.7219)  1 U 1.95, 1 Tb 2.15
N (0.5000, 0.5000, 0.2219)  1 U 1.95, 1 Tb 2.15

---

Compound: Cd2NiCl
Source: Alexandria via LeMat-Bulk
Functional: PBE-GGA
Structure: optimized geometry

- calculated volume (Å³/cell) = 342.68
- raw formation energy (eV/atom) = 0.1185
- excess energy over the best structure of this formula in the dataset (meV per atom) = 301
- space group = I-42d (122)
- crystal system = tetragonal

abc: 7.3533 7.3533 6.3376
angles: 90.00 90.00 90.00
Last column: nearest neighbours and their distance in Å.
Positions (direct):
Cd (0.2280, 0.7500, 0.1250)  2 Ni 2.61, 2 Cl 2.83
Cd (0.2500, 0.2280, 0.8750)  2 Ni 2.61, 2 Cl 2.83
Cd (0.2500, 0.2720, 0.3750)  2 Ni 2.61, 2 Cl 2.83
Cd (0.2720, 0.7500, 0.6250)  2 Ni 2.61, 2 Cl 2.83
Cd (0.7280, 0.2500, 0.6250)  2 Ni 2.61, 2 Cl 2.83
Cd (0.7500, 0.7280, 0.3750)  2 Ni 2.61, 2 Cl 2.83
Cd (0.7500, 0.7720, 0.8750)  2 Ni 2.61, 2 Cl 2.83
Cd (0.7720, 0.2500, 0.1250)  2 Ni 2.61, 2 Cl 2.83
Ni (0.0000, 0.0000, 0.0000)  4 Cd 2.61
Ni (0.0000, 0.5000, 0.2500)  4 Cd 2.61
Ni (0.5000, 0.0000, 0.7500)  4 Cd 2.61
Ni (0.5000, 0.5000, 0.5000)  4 Cd 2.61
Cl (0.0000, 0.0000, 0.5000)  4 Cd 2.83, 2 Ni 3.17
Cl (0.0000, 0.5000, 0.7500)  4 Cd 2.83, 2 Ni 3.17
Cl (0.5000, 0.0000, 0.2500)  4 Cd 2.83, 2 Ni 3.17
Cl (0.5000, 0.5000, 0.0000)  4 Cd 2.83, 2 Ni 3.17

---

Compound: PrBeSi2Pd
Source: Alexandria via LeMat-Bulk
Functional: PBE-GGA
Structure: optimized geometry

- calculated volume (Å³/cell) = 169.33
- raw formation energy (eV/atom) = -0.6997
- space group = I-4m2 (119)
- crystal system = tetragonal

abc: 4.0758 4.0758 10.1932
angles: 90.00 90.00 90.00
Last column: nearest neighbours and their distance in Å.
Positions (direct):
Pr (0.0000, 0.0000, 0.0000)  8 Si 3.13, 4 Pd 3.26, 4 Be 3.26
Pr (0.5000, 0.5000, 0.5000)  8 Si 3.13, 4 Pd 3.26, 4 Be 3.26
Be (0.0000, 0.5000, 0.2500)  4 Si 2.43
Be (0.5000, 0.0000, 0.7500)  4 Si 2.43
Si (0.0000, 0.0000, 0.3801)  2 Be 2.43, 2 Pd 2.43, 1 Si 2.44
Si (0.0000, 0.0000, 0.6199)  2 Be 2.43, 2 Pd 2.43, 1 Si 2.44
Si (0.5000, 0.5000, 0.1199)  2 Pd 2.43, 2 Be 2.43, 1 Si 2.44
Si (0.5000, 0.5000, 0.8801)  2 Be 2.43, 2 Pd 2.43, 1 Si 2.44
Pd (0.0000, 0.5000, 0.7500)  4 Si 2.43
Pd (0.5000, 0.0000, 0.2500)  4 Si 2.43

---

Compound: LiSb2W
Source: Alexandria via LeMat-Bulk
Functional: PBE-GGA
Structure: optimized geometry

- calculated volume (Å³/cell) = 151.73
- raw formation energy (eV/atom) = 0.2756
- excess energy over the best structure of this formula in the dataset (meV per atom) = 190
- space group = Immm (71)
- crystal system = orthorhombic

abc: 4.0263 4.9549 7.6056
angles: 90.00 90.00 90.00
Last column: nearest neighbours and their distance in Å.
Positions (direct):
Li (0.0000, 0.0000, 0.0000)  4 Sb 2.67
Li (0.5000, 0.5000, 0.5000)  4 Sb 2.67
Sb (0.0000, 0.5000, 0.2686)  2 Li 2.67, 2 W 2.87
Sb (0.0000, 0.5000, 0.7314)  2 Li 2.67, 2 W 2.87
Sb (0.5000, 0.0000, 0.2314)  2 Li 2.67, 2 W 2.87
Sb (0.5000, 0.0000, 0.7686)  2 Li 2.67, 2 W 2.87
W (0.0000, 0.0000, 0.5000)  8 Sb 2.87-3.04, 4 Li 3.19
W (0.5000, 0.5000, 0.0000)  8 Sb 2.87-3.04, 4 Li 3.19

---

Compound: Zn2B2Ir5
Source: Alexandria via LeMat-Bulk
Functional: PBE-GGA
Structure: optimized geometry

- E_form (eV per atom) = 0.034
- calculated volume (Å³/cell) = 241.83
- space group = Cmce (64)
- crystal system = orthorhombic

abc: 7.0802 7.0802 5.5105
angles: 90.00 90.00 61.10
Last column: nearest neighbours and their distance in Å.
Positions (direct):
Zn (0.2124, 0.2124, 0.0000)  7 Ir 2.57-2.72
Zn (0.2876, 0.2876, 0.5000)  7 Ir 2.57-2.72
Zn (0.7124, 0.7124, 0.5000)  7 Ir 2.57-2.72
Zn (0.7876, 0.7876, 0.0000)  7 Ir 2.57-2.72
B (0.1497, 0.8503, 0.6597)  5 Ir 2.10-2.21
B (0.3503, 0.6497, 0.1597)  5 Ir 2.10-2.21
B (0.6497, 0.3503, 0.8403)  5 Ir 2.10-2.21
B (0.8503, 0.1497, 0.3403)  5 Ir 2.10-2.21
Ir (0.0000, 0.0000, 0.0000)  2 B 2.16
Ir (0.0635, 0.7094, 0.3761)  2 B 2.10-2.21
Ir (0.2094, 0.5635, 0.8761)  2 B 2.10-2.21
Ir (0.2906, 0.9365, 0.3761)  2 B 2.10-2.21
Ir (0.4365, 0.7906, 0.8761)  2 B 2.10-2.21
Ir (0.5000, 0.5000, 0.5000)  2 B 2.16
Ir (0.5635, 0.2094, 0.1239)  2 B 2.10-2.21
Ir (0.7094, 0.0635, 0.6239)  2 B 2.10-2.21
Ir (0.7906, 0.4365, 0.1239)  2 B 2.10-2.21
Ir (0.9365, 0.2906, 0.6239)  2 B 2.10-2.21

---

| no. | E_tot (eV for the cell shown) |
| --- | --- |
| 1 | -26.492 |
| 2 | -45.142 |
| 3 | -35.937 |
| 4 | -56.086 |
| 5 | -44.019 |
| 6 | -119.795 |